{"formula": "Pm5ErGe6", "functional": "GGA-PBE", "state": "optimized geometry", "lattice": [[3.6786, -6.3343, 0.0000], [3.6786, 6.3343, 0.0000], [-2.4227, 0.0000, 6.9271]], "species": ["Pm", "Pm", "Pm", "Pm", "Pm", "Er", "Ge", "Ge", "Ge", "Ge", "Ge", "Ge"], "fractional_positions": [[0.0000, 0.0000, 0.0000], [0.1663, 0.8337, 0.5000], [0.3313, 0.6687, 0.0000], [0.6687, 0.3313, 0.0000], [0.8337, 0.1663, 0.5000], [0.5000, 0.5000, 0.5000], [0.0903, 0.4182, 0.2541], [0.2552, 0.2552, 0.7488], [0.4182, 0.0903, 0.2541], [0.5818, 0.9097, 0.7459], [0.7448, 0.7448, 0.2512], [0.9097, 0.5818, 0.7459]], "space_group": "C2/m (12)", "total_energy_ry_per_atom": -0.391, "dos_ef_per_ev_atom": 0.95, "delta_e_f_ev_per_atom": -0.6562}